[1]
Compound: SrCaCr2
Source: the Alexandria database
Functional: GGA-PBE
Structure: relaxed

a = 5.4695 Å, b = 5.4695 Å, c = 5.4695 Å
α = 60.00°, β = 60.00°, γ = 60.00°
Site moments in Bohr magnetons follow the coordinates.
Fractional coordinates of all 4 atoms:
Ca 0.5000 0.5000 0.5000  0.01
Cr 0.0000 0.0000 0.0000  3.92
Cr 0.2500 0.2500 0.2500  3.91
Sr 0.7500 0.7500 0.7500  0.03

Computed properties:
final energy	-19.38	eV/cell
total magnetic moment	9.34	μB per formula unit
formation energy	0.8870	eV per atom
crystal system	cubic
N(E_F)	3.9	states/eV/f.u.

---

[2]
Compound: SrCaCr
Source: the Alexandria database
Functional: GGA-PBE
Structure: relaxed

a = 5.5381 Å, b = 5.5381 Å, c = 5.5381 Å
α = 60.00°, β = 60.00°, γ = 60.00°
Site moments in Bohr magnetons follow the coordinates.
Fractional coordinates of all 3 atoms:
Sr 0.0000 0.0000 0.0000  0.02
Cr 0.7500 0.7500 0.7500  4.00
Ca 0.5000 0.5000 0.5000  0.02

Computed properties:
final energy	-11.37	eV/cell
total magnetic moment	4.71	μB per formula unit
formation energy	0.6450	eV per atom
crystal system	cubic
N(E_F)	1.8	states/eV/f.u.

---

[3]
Compound: SrCaCr3
Source: the Alexandria database
Functional: GGA-PBE
Structure: relaxed

a = 5.5618 Å, b = 5.5618 Å, c = 5.5618 Å
α = 90.00°, β = 90.00°, γ = 90.00°
Site moments in Bohr magnetons follow the coordinates.
Fractional coordinates of all 5 atoms:
Cr 0.0000 0.5000 0.0000  4.11
Cr 0.5000 0.0000 0.0000  4.13
Cr 0.0000 0.0000 0.5000  4.00
Sr 0.5000 0.5000 0.5000  0.00
Ca 0.0000 0.0000 0.0000  0.21

Computed properties:
final energy	-24.76	eV/cell
total magnetic moment	14.57	μB per formula unit
formation energy	1.5577	eV per atom
crystal system	cubic
N(E_F)	5.7	states/eV/f.u.

---

[4]
Compound: SrCaCr4
Source: the Alexandria database
Functional: GGA-PBE
Structure: relaxed

a = 5.3463 Å, b = 5.3463 Å, c = 5.3463 Å
α = 60.00°, β = 60.00°, γ = 60.00°
Fractional coordinates of all 6 atoms:
Cr 0.3830 0.8510 0.3830
Cr 0.8510 0.3830 0.3830
Ca 0.0000 0.0000 0.0000
Cr 0.3830 0.3830 0.3830
Cr 0.3830 0.3830 0.8510
Sr 0.7500 0.7500 0.7500

Computed properties:
final energy	-36.36	eV/cell
total magnetic moment	0.15	μB per formula unit
formation energy	0.9695	eV per atom
crystal system	cubic
N(E_F)	12.7	states/eV/f.u.

---

Question: Among the records above, which one has the highest final energy?
Answer: SrCaCr